Record 1
## LiPmMgIn2 (PBE)

Data for a relaxed LiPmMgIn2 crystal.

The structure belongs to space group Pmma (No. 51); the cell edges are 5.776, 6.493 and 6.479 Å and the angles 90.00°, 90.00° and 90.00°. The asymmetric unit holds Li at (0.000, 0.000, 0.000), Pm at (0.250, 0.500, 0.214), Mg at (0.250, 0.000, 0.365) and In at (0.250, 0.264, 0.727).

The raw total energy comes out at -2.99 eV/atom. Its formation energy is -239 meV/atom. The density is 5.5 Mg/m³. As for the crystal system: orthorhombic.

***

Record 2
## Tc2IrSe (PBE)

Data for a relaxed Tc2IrSe crystal.

The structure belongs to space group Imm2 (No. 44); the cell edges are 2.949, 4.445 and 9.056 Å and the angles 90.00°, 90.00° and 90.00°. The asymmetric unit holds Tc at (0.000, 0.000, 0.000), Tc at (0.000, 0.500, 0.229), Ir at (0.000, 0.500, 0.775) and Se at (0.000, 0.000, 0.506).

As for the uncorrected formation energy: 0.219 eV/atom. The raw total energy comes out at -8.05 eV/atom. The density is 13.1 Mg/m³. As for the crystal system: orthorhombic.

***

Question: Which of these has the highest raw total energy?
Answer: LiPmMgIn2

***

Question: density of number 1 (LiPmMgIn2)?
Answer: 5.5 Mg/m³

***

Question: What is the density in the first record?
Answer: 5.5 Mg/m³

***

Question: Which of these has the highest raw total energy?
Answer: LiPmMgIn2